No. 1
First-principles (PBE) data for an optimized crystal structure of SrZn2, as listed in Alexandria.

a = 6.276 Å, b = 6.276 Å, c = 4.730 Å
α = 90.00°, β = 90.00°, γ = 49.50°
Sites, in units of the cell vectors:
Sr 0.236 0.764 0.750
Sr 0.764 0.236 0.250
Zn 0.141 0.446 0.250
Zn 0.446 0.141 0.750
Zn 0.554 0.859 0.250
Zn 0.859 0.554 0.750

Output
**Space group**: Cmcm, No. 63

No. 2
First-principles (PBE) data for an optimized crystal structure of Sr5Zn3, as listed in Alexandria.

a = 9.894 Å, b = 9.894 Å, c = 9.038 Å
α = 94.93°, β = 94.93°, γ = 136.30°
Sites, in units of the cell vectors:
Sr 0.025 0.646 0.794
Sr 0.179 0.395 0.628
Sr 0.256 0.256 0.024
Sr 0.354 0.975 0.206
Sr 0.395 0.179 0.628
Sr 0.605 0.821 0.372
Sr 0.646 0.025 0.794
Sr 0.744 0.744 0.976
Sr 0.821 0.605 0.372
Sr 0.975 0.354 0.206
Zn 0.071 0.071 0.323
Zn 0.251 0.749 0.500
Zn 0.345 0.655 0.000
Zn 0.655 0.345 0.000
Zn 0.749 0.251 0.500
Zn 0.929 0.929 0.677

Output
**ΔE to the lowest computed polymorph**: 44 meV per atom
**Space group**: C2/m, No. 12

No. 3
First-principles (PBE) data for an optimized crystal structure of SrZn2, as listed in Alexandria.

a = 6.305 Å, b = 6.305 Å, c = 6.627 Å
α = 105.69°, β = 105.69°, γ = 39.93°
Sites, in units of the cell vectors:
Sr 0.000 0.000 0.000
Sr 0.653 0.653 0.583
Zn 0.332 0.332 0.200
Zn 0.379 0.379 0.623
Zn 0.716 0.716 0.104
Zn 0.916 0.916 0.440

Output
**Space group**: Cm, No. 8

No. 4
First-principles (PBE) data for an optimized crystal structure of Sr5Zn4, as listed in Alexandria.

a = 6.516 Å, b = 6.516 Å, c = 11.180 Å
α = 107.87°, β = 107.87°, γ = 43.49°
Sites, in units of the cell vectors:
Sr 0.000 0.000 0.000
Sr 0.111 0.111 0.397
Sr 0.239 0.239 0.820
Sr 0.761 0.761 0.180
Sr 0.889 0.889 0.603
Zn 0.406 0.406 0.393
Zn 0.457 0.457 0.182
Zn 0.543 0.543 0.818
Zn 0.594 0.594 0.607

Output
**Space group**: C2/m, No. 12

| no. | ΔH_f (0 K) (eV per formula unit) |
| --- | --- |
| 1 | -0.36 |
| 2 | -0.85 |
| 3 | -0.46 |
| 4 | -1.43 |